The following is a PBE calculation of a relaxed structure of NaAcGa2Au4, from the Alexandria database.

Computed properties:
Total magnetic moment   0.00 μB/atom
Density of states at the Fermi level   0.384 states/eV/atom
Crystal system   trigonal
Energy relative to the elements   -450 meV/atom

a = 4.6105 Å, b = 4.6105 Å, c = 28.8666 Å
α = 90.00°, β = 90.00°, γ = 120.00°
Space group R-3m (No. 166, hexagonal axes)
Asymmetric unit:
Na 0.0000 0.0000 0.0000
Ac 0.0000 0.0000 0.5000
Ga 0.0000 0.0000 0.2631
Au 0.0000 0.0000 0.1028
Au 0.0000 0.0000 0.3823



The following is a PBE calculation of a relaxed structure of NaDy2Sn3Te6, from the Alexandria database.

Computed properties:
Total magnetic moment   0.00 μB/atom
Density of states at the Fermi level   0.333 states/eV/atom
Crystal system   monoclinic
E_form (uncorrected)   -726 meV/atom

a = 19.7194 Å, b = 4.4118 Å, c = 9.1773 Å
α = 90.00°, β = 104.61°, γ = 90.00°
Space group C2/m (No. 12)
Asymmetric unit:
Na 0.0000 0.0000 0.0000
Dy 0.1684 0.5000 0.3455
Sn 0.0000 0.0000 0.5000
Sn 0.1572 0.5000 0.8483
Te 0.0076 0.5000 0.2565
Te 0.1689 0.0000 0.5862
Te 0.1752 0.0000 0.1066



The following is a PBE calculation of a relaxed structure of CaAgOs2, from the Alexandria database.

Computed properties:
Total magnetic moment   0.00 μB/atom
Density of states at the Fermi level   1.215 states/eV/atom
Crystal system   tetragonal
Energy relative to the elements   777 meV/atom
Relative energy among the computed polymorphs   448 meV/atom

a = 4.0858 Å, b = 4.0858 Å, c = 20.2212 Å
α = 90.00°, β = 90.00°, γ = 90.00°
Space group I-42d (No. 122)
Asymmetric unit:
Ca 0.0000 0.0000 0.0000
Ag 0.0000 0.0000 0.5000
Os 0.1488 0.2500 0.6250



The following is a PBE calculation of a relaxed structure of Y4SiS3, from the Alexandria database.

Computed properties:
Total magnetic moment   0.00 μB/atom
Density of states at the Fermi level   0.429 states/eV/atom
Crystal system   tetragonal
E_form (uncorrected)   -1757 meV/atom

a = 5.6218 Å, b = 5.6218 Å, c = 11.2759 Å
α = 90.00°, β = 90.00°, γ = 90.00°
Space group I4/mmm (No. 139)
Asymmetric unit:
Y 0.0000 0.0000 0.2475
Y 0.0000 0.5000 0.0000
Si 0.0000 0.0000 0.0000
S 0.0000 0.0000 0.5000
S 0.0000 0.5000 0.2500